[1]
Computed, not measured: an optimized crystal structure of FeCl3 at the GGA-PBE level of DFT.

```
FeCl3
1.0
3.464 0.000 0.000
0.000 7.003 0.636
0.000 4.954 4.988
Fe Cl
1 3
Cartesian
1.732 2.989 1.406
0.000 1.486 0.698
1.732 8.968 4.218
0.000 4.493 2.114
```

## Properties
As for the uncorrected formation energy: -0.6221 eV/atom. The raw total energy is -4.12 eV per atom. Its size of the total moment is 4.84 μB per formula unit.

[2]
Computed, not measured: an optimized crystal structure of Li2LaTaPb at the GGA-PBE level of DFT.

```
Li2LaTaPb
1.0
5.166 0.000 0.000
0.000 5.073 0.000
0.000 0.000 5.166
Pb La Li Ta
1 1 2 1
Cartesian
2.583 2.536 2.583
0.000 0.000 0.000
0.000 0.000 2.583
2.583 0.000 0.000
0.000 2.536 0.000
```

## Properties
The raw total energy is -3.62 eV per atom. As for the energy of formation: 1.24 eV per atom. Its size of the total moment is 0.00 μB per formula unit.

[3]
Computed, not measured: an optimized crystal structure of CoRh2 at the GGA-PBE level of DFT.

```
CoRh2
1.0
5.934 -0.002 0.000
-4.747 3.560 0.000
0.000 0.000 3.765
Co Rh
2 4
Cartesian
5.094 0.278 0.941
-3.907 3.280 2.824
1.461 1.490 0.941
-0.274 2.069 2.824
-2.086 2.673 0.941
3.273 0.886 2.824
```

## Properties
The raw total energy is -7.21 eV per atom. As for the energy of formation: 0.06 eV per atom. Its size of the total moment is 2.07 μB per formula unit.

[4]
Computed, not measured: an optimized crystal structure of NaIn3Te4 at the GGA-PBE level of DFT.

```
NaIn3Te4
1.0
7.387 0.000 0.000
0.000 7.387 0.000
-3.694 -3.694 5.984
Na In Te
1 3 4
Cartesian
0.000 0.000 0.000
3.694 3.694 0.000
3.694 0.000 2.992
0.000 3.694 2.992
1.998 1.998 1.542
5.390 5.390 1.542
-1.696 1.696 4.442
1.696 -1.696 4.442
```

## Properties
As for the uncorrected formation energy: -0.3709 eV/atom. The raw total energy is -3.13 eV per atom. Its size of the total moment is 0.00 μB per formula unit.

[5]
Computed, not measured: an optimized crystal structure of TiMnZnFe at the GGA-PBE level of DFT.

```
TiMnZnFe
1.0
-1.506 -2.195 0.254
1.496 -0.613 3.575
-2.766 4.169 1.872
Zn Mn Fe Ti
1 1 1 1
Cartesian
-1.104 0.835 0.605
-3.292 1.525 1.639
-2.136 -0.107 3.028
0.022 -1.315 1.918
```

## Properties
The raw total energy is -6.71 eV per atom. As for the energy of formation: -0.01 eV per atom. Its size of the total moment is 3.09 μB per formula unit.

[6]
Computed, not measured: an optimized crystal structure of MgCoOs4 at the GGA-PBE level of DFT.

```
MgCoOs4
1.0
0.000 3.633 3.633
3.633 0.000 3.633
3.633 3.633 0.000
Mg Co Os
1 1 4
Cartesian
0.000 0.000 0.000
5.449 5.449 5.449
2.726 4.539 4.539
4.539 4.539 2.726
4.539 2.726 4.539
2.726 2.726 2.726
```

## Properties
The raw total energy is -8.31 eV per atom. As for the energy of formation: 0.63 eV per atom. Its size of the total moment is 2.65 μB per formula unit.

[7]
Computed, not measured: an optimized crystal structure of DyThSc6 at the GGA-PBE level of DFT.

```
DyThSc6
1.0
5.362 0.000 0.000
0.000 6.737 -0.218
0.000 -3.178 5.944
Dy Th Sc
1 1 6
Cartesian
2.681 0.952 3.377
0.000 -2.352 5.430
0.000 -0.802 2.439
0.000 1.016 5.366
0.000 2.642 2.327
2.681 2.557 0.414
2.681 4.320 3.250
2.681 5.898 0.303
```

## Properties
The raw total energy is -6.22 eV per atom. As for the energy of formation: 0.03 eV per atom. Its size of the total moment is 0.00 μB per formula unit.

[8]
Computed, not measured: an optimized crystal structure of BaIF6 at the GGA-PBE level of DFT.

```
BaIF6
1.0
5.337 0.000 0.000
2.668 4.622 0.000
2.668 1.541 5.800
Ba I F
1 1 6
Cartesian
5.337 3.081 2.900
0.000 0.000 0.000
9.356 5.402 4.314
6.655 5.402 4.314
2.668 3.100 1.486
4.019 0.761 1.486
1.318 0.761 1.486
8.005 3.062 4.314
```

## Properties
As for the uncorrected formation energy: -2.1128 eV/atom. The raw total energy is -3.95 eV per atom. Its size of the total moment is 1.01 μB per formula unit.

no.,calculated density (Mg/m³)
1,2.447
2,6.636
3,11.058
4,4.464
5,6.997
6,14.622
7,5.228
8,4.390